The following is a GGA+U calculation of a relaxed structure of NaNi3O, from the Alexandria database.

Cell and atoms, written as POSCAR:
```
NaNi3O
1.0
-0.905 -0.121 -4.366
-2.101 -3.898 0.543
-3.830 2.166 0.734
Ni Na O
3 1 1
direct
0.500 0.000 0.000 Ni
0.000 0.000 0.500 Ni
0.000 0.500 0.000 Ni
0.000 0.000 0.000 Na
0.500 0.500 0.500 O
```

Calculated values
Its excess energy over the best structure of this formula in the dataset is 1.509 eV/atom. Its total magnetic moment is 3.01 μB/cell.